Computed, not measured: crystalline Li2Zn7Cu2 at its relaxed geometry at the PBE level of DFT.

Cell: 6.6373 4.9111 4.9111 Å, 95.11 82.61 82.61°
Last column: nearest neighbours and their distance in Å.
Atoms (fractional coordinates):
Zn 0.8027 0.9043 0.5354  3 Cu 2.57-2.59, 2 Li 2.65-2.70, 3 Zn 2.67-2.81
Zn 0.8027 0.5354 0.9043  3 Cu 2.57-2.59, 2 Li 2.65-2.70, 3 Zn 2.67-2.81
Zn 0.0000 0.0000 0.0000  2 Cu 2.53, 6 Zn 2.67-2.81
Zn 0.5967 0.1473 0.1473  4 Zn 2.53-2.75, 1 Cu 2.55, 4 Li 2.64-2.65
Zn 0.4033 0.8527 0.8527  4 Zn 2.53-2.75, 1 Cu 2.55, 4 Li 2.64-2.65
Zn 0.1973 0.0957 0.4646  3 Cu 2.57-2.59, 2 Li 2.65-2.70, 3 Zn 2.67-2.81
Zn 0.1973 0.4646 0.0957  3 Cu 2.57-2.59, 2 Li 2.65-2.70, 3 Zn 2.67-2.81
Li 0.5000 0.6802 0.3198  1 Li 2.61, 8 Zn 2.64-2.70, 2 Cu 2.70
Li 0.5000 0.3198 0.6802  1 Li 2.61, 8 Zn 2.64-2.70, 2 Cu 2.70
Cu 0.8591 0.3833 0.3833  8 Zn 2.53-2.59, 1 Cu 2.64, 2 Li 2.70
Cu 0.1409 0.6167 0.6167  8 Zn 2.53-2.59, 1 Cu 2.64, 2 Li 2.70

N(E_F): 2.410 states/eV/cell
M_tot: 0.00 Bohr magnetons per cell
Formation enthalpy at 0 K: -103 meV per atom